Li2PrNdAu2: relaxed, PBE.

Calculated values
The crystal system is trigonal. The density of states at the Fermi level comes out at 6.14 states/eV/cell. Its formation energy is -0.522 eV per atom. Its calculated volume is 22.66 Å³ per atom. The calculation puts the total energy at -23.1 eV per cell.

Unit cell a=4.677 b=4.677 c=7.178 alpha=90.00 beta=90.00 gamma=120.00
Element x y z (fractional)
Li: 0.333 0.667 0.245
Li: 0.667 0.333 0.755
Pr: 0.000 0.000 0.500
Nd: 0.000 0.000 0.000
Au: 0.333 0.667 0.754
Au: 0.667 0.333 0.246